A crystal of Ta2CoAg relaxed with PBEsol, computed with SCAN.

Cell: 2.754 2.754 8.037 Å, 90.00 90.00 90.00°
Sites, in units of the cell vectors:
1 Ag 0.500 0.500 0.000
2 Ta 0.000 0.000 0.718
3 Ta 0.000 0.000 0.282
4 Co 0.500 0.500 0.500

Properties
* DOS(E_F): 3.825 states/eV/cell
* formation enthalpy at 0 K: 0.137 eV per atom
* polymorph energy (0 for the lowest one): 0.00 eV per formula unit


A crystal of CoTcAg relaxed with PBEsol, computed with SCAN.

Cell: 4.099 4.099 4.099 Å, 60.00 60.00 60.00°
Each line ends with the local moment (μB).
Sites, in units of the cell vectors:
1 Tc 0.250 0.250 0.250  -0.65
2 Ag 0.000 0.000 0.000  -0.06
3 Co 0.500 0.500 0.500  1.73

Properties
* DOS(E_F): 2.399 states/eV/cell
* formation enthalpy at 0 K: 1.232 eV per atom
* polymorph energy (0 for the lowest one): 0.00 eV per formula unit


A crystal of Co2TcAg relaxed with PBEsol, computed with SCAN.

Cell: 2.636 2.636 8.654 Å, 81.24 81.24 60.00°
Each line ends with the local moment (μB).
Sites, in units of the cell vectors:
1 Tc 0.500 0.500 0.500  0.03
2 Co 0.755 0.755 0.735  1.65
3 Ag 0.000 0.000 0.000  -0.01
4 Co 0.245 0.245 0.265  1.65

Properties
* DOS(E_F): 2.737 states/eV/cell
* formation enthalpy at 0 K: 0.334 eV per atom
* polymorph energy (0 for the lowest one): 0.00 eV per formula unit


A crystal of Co2TcAg relaxed with PBEsol, computed with SCAN.

Cell: 2.642 2.642 7.205 Å, 90.00 90.00 90.00°
Sites, in units of the cell vectors:
1 Tc 0.500 0.500 0.000
2 Co 0.000 0.000 0.229
3 Ag 0.500 0.500 0.500
4 Co 0.000 0.000 0.771

Properties
* DOS(E_F): 3.684 states/eV/cell
* formation enthalpy at 0 K: 0.428 eV per atom
* polymorph energy (0 for the lowest one): 0.38 eV per formula unit


The lowest formation enthalpy at 0 K belongs to which entry?
Ta2CoAg


Which of these has the highest formation enthalpy at 0 K?
CoTcAg